Entry 1:
Below is a relaxed structure of Pm3Al9Os2, with properties calculated at the GGA-PBE level.

Results
Uncorrected energy ... -5.5253 eV/atom
N(E_F) ... 4.351 states/eV per cell
V ... 267 Å³/f.u.

Cell lengths 4.3681, 8.2596, 8.2596 Å; angles 71.21, 74.67, 74.67 degrees
Positions (direct):
Os (0.5000, 0.6731, 0.3269)
Al (0.3516, 0.2902, 0.0066)
Al (0.1234, 0.5928, 0.1604)
Al (0.8766, 0.8396, 0.4072)
Pm (0.0000, 0.0000, 0.0000)
Al (0.1234, 0.1604, 0.5928)
Al (0.8766, 0.4072, 0.8396)
Al (0.3516, 0.0066, 0.2902)
Al (0.6484, 0.7098, 0.9934)
Os (0.5000, 0.3269, 0.6731)
Pm (0.7041, 0.2959, 0.2959)
Pm (0.2959, 0.7041, 0.7041)
Al (0.0000, 0.5000, 0.5000)
Al (0.6484, 0.9934, 0.7098)

Entry 2:
Below is a relaxed structure of Sr2SnBiPd6, with properties calculated at the GGA-PBE level.

Results
Uncorrected energy ... -4.7242 eV/atom
N(E_F) ... 5.690 states/eV per cell
V ... 240 Å³/f.u.

Cell lengths 7.1351, 6.9900, 7.1917 Å; angles 55.76, 59.28, 87.41 degrees
Positions (direct):
Pd (0.8358, 0.6540, 0.0207)
Sr (0.7939, 0.2069, 0.5714)
Sn (0.0000, 0.0000, 0.0000)
Pd (0.3117, 0.8322, 0.7870)
Sr (0.2061, 0.7931, 0.4286)
Pd (0.3823, 0.3415, 0.5061)
Pd (0.1642, 0.3460, 0.9793)
Bi (0.5000, 0.5000, 0.0000)
Pd (0.6177, 0.6585, 0.4939)
Pd (0.6883, 0.1678, 0.2130)

Entry 3:
Below is a relaxed structure of Cu2IrAu, with properties calculated at the GGA-PBE level.

Results
Uncorrected energy ... -4.9252 eV/atom
N(E_F) ... 3.594 states/eV per cell
V ... 58 Å³/f.u.

Cell lengths 2.7026, 2.7026, 8.9040 Å; angles 90.00, 90.00, 116.51 degrees
Positions (direct):
Cu (0.0000, 0.0000, 0.4921)
Ir (0.5000, 0.5000, 0.2500)
Cu (0.0000, 0.0000, 0.0079)
Au (0.5000, 0.5000, 0.7500)

Entry 4:
Below is a relaxed structure of Dy2ZrSc4, with properties calculated at the GGA-PBE level.

Results
Uncorrected energy ... -6.1218 eV/atom
N(E_F) ... 11.733 states/eV per cell
Polymorph energy (0 for the lowest one) ... 0.000 eV per atom
V ... 183 Å³/f.u.

Cell lengths 3.3700, 3.3698, 18.6720 Å; angles 95.16, 90.00, 120.00 degrees
Site moments in Bohr magnetons follow the coordinates.
Positions (direct):
Sc (0.0010, 0.0020, 0.2386)  0.01
Zr (0.8103, 0.6206, 0.6699)  0.00
Sc (0.4329, 0.8658, 0.5365)  0.01
Sc (0.5216, 0.0432, 0.8047)  0.04
Sc (0.9014, 0.8027, 0.9429)  0.10
Dy (0.6180, 0.2360, 0.0904)  0.00
Dy (0.7162, 0.4325, 0.3850)  0.00

Entry 5:
Below is a relaxed structure of NaAs2RhAu, with properties calculated at the GGA-PBE level.

Results
Uncorrected energy ... -3.5271 eV/atom
N(E_F) ... 5.320 states/eV per cell
V ... 129 Å³/f.u.

Cell lengths 4.9885, 5.1841, 4.9885 Å; angles 90.00, 90.00, 90.00 degrees
Site moments in Bohr magnetons follow the coordinates.
Positions (direct):
Na (0.5000, 0.5000, 0.5000)  0.00
Rh (0.0000, 0.5000, 0.0000)  0.84
Au (0.0000, 0.0000, 0.0000)  0.01
As (0.0000, 0.0000, 0.5000)  -0.02
As (0.5000, 0.0000, 0.0000)  -0.03

Entry 6:
Below is a relaxed structure of Ba2In2Pb3, with properties calculated at the GGA-PBE level.

Results
Uncorrected energy ... -3.3559 eV/atom
N(E_F) ... 2.652 states/eV per cell
V ... 242 Å³/f.u.

Cell lengths 5.0592, 6.7656, 7.9924 Å; angles 105.99, 90.00, 111.96 degrees
Positions (direct):
In (0.9019, 0.8038, 0.5695)
Ba (0.3608, 0.7216, 0.2237)
Ba (0.6392, 0.2784, 0.7763)
Pb (0.3363, 0.6726, 0.7365)
Pb (0.0000, 0.0000, 0.0000)
Pb (0.6637, 0.3274, 0.2635)
In (0.0981, 0.1962, 0.4305)

Entry 7:
Below is a relaxed structure of Sm2IrCl, with properties calculated at the GGA-PBE level.

Results
Uncorrected energy ... -6.2053 eV/atom
N(E_F) ... 1.195 states/eV per cell
Polymorph energy (0 for the lowest one) ... 0.031 eV per atom
V ... 110 Å³/f.u.
ΔE_f (raw) ... -1.169 eV/atom

Cell lengths 4.0863, 4.0863, 7.9665 Å; angles 75.14, 75.14, 60.00 degrees
Positions (direct):
Sm (0.2689, 0.2689, 0.1933)
Ir (0.6678, 0.6678, 0.9967)
Sm (0.0675, 0.0675, 0.7975)
Cl (0.4958, 0.4958, 0.5125)

Entry 8:
Below is a relaxed structure of TaCr3Ge, with properties calculated at the GGA-PBE level.

Results
Uncorrected energy ... -7.4380 eV/atom
N(E_F) ... 4.736 states/eV per cell
Polymorph energy (0 for the lowest one) ... 0.517 eV per atom
V ... 104 Å³/f.u.

Cell lengths 4.7067, 4.7067, 4.7067 Å; angles 90.00, 90.00, 90.00 degrees
Site moments in Bohr magnetons follow the coordinates.
Positions (direct):
Cr (0.5000, 0.0000, 0.0000)  3.11
Ta (0.0000, 0.0000, 0.0000)  -0.57
Ge (0.5000, 0.5000, 0.5000)  -0.14
Cr (0.0000, 0.5000, 0.0000)  2.63
Cr (0.0000, 0.0000, 0.5000)  2.50

Entry 9:
Below is a relaxed structure of Sr2YAg2, with properties calculated at the GGA-PBE level.

Results
Uncorrected energy ... -2.9808 eV/atom
N(E_F) ... 4.410 states/eV per cell
Polymorph energy (0 for the lowest one) ... 0.308 eV per atom
V ... 164 Å³/f.u.

Cell lengths 4.8828, 4.8828, 7.6928 Å; angles 71.50, 71.50, 90.00 degrees
Site moments in Bohr magnetons follow the coordinates.
Positions (direct):
Y (0.0000, 0.0000, 0.0000)  0.26
Ag (0.4034, 0.4034, 0.1931)  0.02
Sr (0.2500, 0.7500, 0.5000)  0.04
Sr (0.7500, 0.2500, 0.5000)  0.04
Ag (0.5966, 0.5966, 0.8069)  0.02

Entry 10:
Below is a relaxed structure of CeMg4Sn2, with properties calculated at the GGA-PBE level.

Results
Uncorrected energy ... -3.1790 eV/atom
N(E_F) ... 18.768 states/eV per cell
V ... 176 Å³/f.u.

Cell lengths 4.6083, 8.7316, 8.7316 Å; angles 90.00, 90.00, 90.00 degrees
Site moments in Bohr magnetons follow the coordinates.
Positions (direct):
Mg (0.0000, 0.0963, 0.3495)  0.00
Ce (0.5000, 0.0000, 0.0000)  0.96
Mg (0.0000, 0.3495, 0.0963)  0.00
Mg (0.0000, 0.9037, 0.6505)  0.00
Mg (0.0000, 0.6505, 0.9037)  0.00
Mg (0.5000, 0.8495, 0.4037)  0.00
Sn (0.0000, 0.2015, 0.7985)  -0.01
Ce (0.0000, 0.5000, 0.5000)  0.96
Sn (0.0000, 0.7985, 0.2015)  -0.01
Sn (0.5000, 0.2985, 0.2985)  -0.01
Mg (0.5000, 0.5963, 0.1505)  0.00
Mg (0.5000, 0.4037, 0.8495)  0.00
Sn (0.5000, 0.7015, 0.7015)  -0.01
Mg (0.5000, 0.1505, 0.5963)  0.00

Entry 11:
Below is a relaxed structure of Ba6Pd2PtI, with properties calculated at the GGA-PBE level.

Results
Uncorrected energy ... -3.5983 eV/atom
N(E_F) ... 8.016 states/eV per cell
V ... 447 Å³/f.u.
ΔE_f (raw) ... -0.647 eV/atom

Cell lengths 8.1615, 8.1606, 9.0777 Å; angles 63.28, 63.27, 59.99 degrees
Positions (direct):
Pd (0.0016, 0.0016, 0.9954)
Ba (0.9204, 0.5879, 0.2319)
Ba (0.7318, 0.1315, 0.7619)
Ba (0.2598, 0.9204, 0.2318)
Pd (0.5071, 0.5071, 0.4785)
Pt (0.3277, 0.3276, 0.0172)
I (0.8191, 0.8190, 0.5428)
Ba (0.1315, 0.3748, 0.7621)
Ba (0.5879, 0.2598, 0.2319)
Ba (0.3747, 0.7318, 0.7618)

Entry 12:
Below is a relaxed structure of Ni3Br, with properties calculated at the GGA-PBE level.

Results
Uncorrected energy ... -4.1152 eV/atom
N(E_F) ... 7.321 states/eV per cell
Polymorph energy (0 for the lowest one) ... 0.338 eV per atom
V ... 52 Å³/f.u.
ΔE_f (raw) ... 0.639 eV/atom

Cell lengths 4.6219, 4.6219, 4.6219 Å; angles 132.64, 132.64, 69.21 degrees
Site moments in Bohr magnetons follow the coordinates.
Positions (direct):
Ni (0.5000, 0.5000, 0.0000)  0.43
Ni (0.2500, 0.7500, 0.5000)  0.51
Ni (0.7500, 0.2500, 0.5000)  0.51
Br (0.0000, 0.0000, 0.0000)  0.07